# Sm2PbC

A relaxed structure of Sm2PbC (GGA-PBE, Alexandria via LeMat-Bulk). Values from VASP.

VASP energy	-71.6	eV for the cell shown
SG	R-3m (166)
energy relative to the elements	-0.374	eV/atom
theoretical density	8.65	Mg/m³
calculated volume	24.952	A^3/atom

The structure in Quantum ESPRESSO input format:
```
&SYSTEM
  ibrav = 0, nat = 12, ntyp = 3
/
ATOMIC_SPECIES
Sm 150.36 Sm.upf
Pb 207.20 Pb.upf
C 12.01 C.upf
CELL_PARAMETERS angstrom
3.7303 0.0000 0.0000
-1.8651 3.2305 0.0000
0.0000 0.0000 24.8471
ATOMIC_POSITIONS crystal
Sm 0.0000 0.0000 0.2228
Sm 0.0000 0.0000 0.7772
Sm 0.3333 0.6667 0.4438
Sm 0.3333 0.6667 0.8895
Sm 0.6667 0.3333 0.1105
Sm 0.6667 0.3333 0.5562
Pb 0.0000 0.0000 0.0000
Pb 0.3333 0.6667 0.6667
Pb 0.6667 0.3333 0.3333
C 0.0000 0.0000 0.5000
C 0.3333 0.6667 0.1667
C 0.6667 0.3333 0.8333
```

# Li2BeCl

A relaxed structure of Li2BeCl (GGA-PBE, Alexandria via LeMat-Bulk). Values from VASP.

VASP energy	-33.1	eV for the cell shown
SG	F-43m (216)
theoretical density	1.27	Mg/m³
energy relative to the elements, uncorrected	0.2820	eV/atom
calculated volume	19.134	A^3/atom
distance to the lowest polymorph of the same formula	650	meV per atom

The structure in Quantum ESPRESSO input format:
```
&SYSTEM
  ibrav = 0, nat = 16, ntyp = 3
/
ATOMIC_SPECIES
Li 6.94 Li.upf
Be 9.01 Be.upf
Cl 35.45 Cl.upf
CELL_PARAMETERS angstrom
6.7397 0.0000 0.0000
0.0000 6.7397 0.0000
0.0000 0.0000 6.7397
ATOMIC_POSITIONS crystal
Li 0.0000 0.0000 0.0000
Li 0.0000 0.5000 0.5000
Li 0.2500 0.2500 0.2500
Li 0.2500 0.7500 0.7500
Li 0.5000 0.0000 0.5000
Li 0.5000 0.5000 0.0000
Li 0.7500 0.2500 0.7500
Li 0.7500 0.7500 0.2500
Be 0.0000 0.0000 0.5000
Be 0.0000 0.5000 0.0000
Be 0.5000 0.0000 0.0000
Be 0.5000 0.5000 0.5000
Cl 0.2500 0.2500 0.7500
Cl 0.2500 0.7500 0.2500
Cl 0.7500 0.2500 0.2500
Cl 0.7500 0.7500 0.7500
```

# Ac2PPd2Pt4

A relaxed structure of Ac2PPd2Pt4 (GGA-PBE, Alexandria via LeMat-Bulk). Values from VASP.

VASP energy	-56.0	eV for the cell shown
SG	I4/mmm (139)
energy relative to the elements	-0.871	eV/atom
theoretical density	13.62	Mg/m³
calculated volume	20.029	A^3/atom

The structure in Quantum ESPRESSO input format:
```
&SYSTEM
  ibrav = 0, nat = 9, ntyp = 4
/
ATOMIC_SPECIES
Ac 227.00 Ac.upf
P 30.97 P.upf
Pd 106.42 Pd.upf
Pt 195.08 Pt.upf
CELL_PARAMETERS angstrom
-3.1868 3.1868 4.4373
3.1868 -3.1868 4.4373
3.1868 3.1868 -4.4373
ATOMIC_POSITIONS crystal
Ac 0.2500 0.7500 0.5000
Ac 0.7500 0.2500 0.5000
P 0.0000 0.0000 0.0000
Pd 0.2736 0.2736 0.0000
Pd 0.7264 0.7264 0.0000
Pt 0.2656 0.2656 0.5311
Pt 0.2656 0.7344 0.0000
Pt 0.7344 0.2656 0.0000
Pt 0.7344 0.7344 0.4689
```

Repeat the first record exactly.
# Sm2PbC

A relaxed structure of Sm2PbC (GGA-PBE, Alexandria via LeMat-Bulk). Values from VASP.

VASP energy	-71.6	eV for the cell shown
SG	R-3m (166)
energy relative to the elements	-0.374	eV/atom
theoretical density	8.65	Mg/m³
calculated volume	24.952	A^3/atom

The structure in Quantum ESPRESSO input format:
```
&SYSTEM
  ibrav = 0, nat = 12, ntyp = 3
/
ATOMIC_SPECIES
Sm 150.36 Sm.upf
Pb 207.20 Pb.upf
C 12.01 C.upf
CELL_PARAMETERS angstrom
3.7303 0.0000 0.0000
-1.8651 3.2305 0.0000
0.0000 0.0000 24.8471
ATOMIC_POSITIONS crystal
Sm 0.0000 0.0000 0.2228
Sm 0.0000 0.0000 0.7772
Sm 0.3333 0.6667 0.4438
Sm 0.3333 0.6667 0.8895
Sm 0.6667 0.3333 0.1105
Sm 0.6667 0.3333 0.5562
Pb 0.0000 0.0000 0.0000
Pb 0.3333 0.6667 0.6667
Pb 0.6667 0.3333 0.3333
C 0.0000 0.0000 0.5000
C 0.3333 0.6667 0.1667
C 0.6667 0.3333 0.8333
```

> Which value of VASP energy does entry 1 give?

-71.6 eV for the cell shown

> The lowest calculated volume belongs to which entry?

Li2BeCl